(1)
The following is a DFT calculation (PBE) of an optimized crystal structure of FeRe3.

a = 3.833 Å, b = 3.833 Å, c = 3.833 Å
α = 90.00°, β = 90.00°, γ = 90.00°
Site moments in Bohr magnetons follow the coordinates.
Fractional positions:
Re 0.500 0.000 0.500  -0.09
Re 0.000 0.500 0.500  -0.09
Fe 0.000 0.000 0.000  1.49
Re 0.500 0.500 0.000  -0.09

* theoretical density: 18.11 Mg/m³
* DOS at the Fermi energy: 4.49 states/eV per cell
* total DFT energy (no corrections): -11.377 eV per atom

=====

(2)
The following is a DFT calculation (PBE) of an optimized crystal structure of Nd4ThTl5.

a = 3.710 Å, b = 3.710 Å, c = 21.519 Å
α = 90.00°, β = 90.00°, γ = 90.00°
Fractional positions:
Tl 0.500 0.500 0.898
Nd 0.000 0.000 0.401
Th 0.000 0.000 0.000
Tl 0.500 0.500 0.500
Tl 0.500 0.500 0.699
Tl 0.500 0.500 0.301
Nd 0.000 0.000 0.799
Tl 0.500 0.500 0.102
Nd 0.000 0.000 0.599
Nd 0.000 0.000 0.201

* theoretical density: 10.27 Mg/m³
* DOS at the Fermi energy: 7.16 states/eV per cell
* total DFT energy (no corrections): -4.168 eV per atom

=====

(3)
The following is a DFT calculation (PBE) of an optimized crystal structure of LuZrGaRu.

a = 4.767 Å, b = 4.767 Å, c = 4.767 Å
α = 60.00°, β = 60.00°, γ = 60.00°
Fractional positions:
Lu 0.500 0.500 0.500
Ru 0.750 0.750 0.750
Ga 0.250 0.250 0.250
Zr 0.000 0.000 0.000

* theoretical density: 9.48 Mg/m³
* DOS at the Fermi energy: 2.59 states/eV per cell
* total DFT energy (no corrections): -6.825 eV per atom

=====

(4)
The following is a DFT calculation (PBE) of an optimized crystal structure of RbSbPbBr6.

a = 7.656 Å, b = 7.656 Å, c = 7.563 Å
α = 90.00°, β = 90.00°, γ = 60.00°
Fractional positions:
Br 0.641 0.381 0.723
Br 0.978 0.381 0.277
Br 0.381 0.978 0.723
Br 0.978 0.641 0.723
Sb 0.667 0.667 0.500
Pb 0.333 0.333 0.500
Br 0.641 0.978 0.277
Br 0.381 0.641 0.277
Rb 0.000 0.000 0.000

* theoretical density: 3.87 Mg/m³
* DOS at the Fermi energy: 0.00 states/eV per cell
* total DFT energy (no corrections): -3.075 eV per atom

=====

(5)
The following is a DFT calculation (PBE) of an optimized crystal structure of LaTb3Y3.

a = 5.735 Å, b = 9.672 Å, c = 9.672 Å
α = 120.00°, β = 90.00°, γ = 90.00°
Fractional positions:
Tb 0.250 0.813 0.765
Y 0.750 0.475 0.096
Tb 0.750 0.049 0.813
Y 0.750 0.621 0.525
Y 0.250 0.096 0.621
Tb 0.750 0.765 0.951
Y 0.250 0.525 0.904
La 0.250 0.667 0.333
Tb 0.250 0.235 0.049
La 0.750 0.333 0.667
Tb 0.750 0.187 0.235
Tb 0.250 0.951 0.187
Y 0.750 0.904 0.379
Y 0.250 0.379 0.475

* theoretical density: 6.31 Mg/m³
* DOS at the Fermi energy: 27.78 states/eV per cell
* polymorph energy (0 for the lowest one): 0.0 meV/atom
* total DFT energy (no corrections): -5.440 eV per atom

=====

(6)
The following is a DFT calculation (PBE) of an optimized crystal structure of DyPuRhO6.

a = 5.261 Å, b = 5.261 Å, c = 10.200 Å
α = 90.00°, β = 90.00°, γ = 120.00°
Site moments in Bohr magnetons follow the coordinates.
Fractional positions:
O 0.342 0.350 0.364  -0.08
O 0.350 0.008 0.636  -0.08
O 0.992 0.650 0.864  -0.08
O 0.650 0.992 0.364  -0.08
O 0.342 0.992 0.136  -0.08
Rh 0.333 0.667 0.250  -0.16
O 0.658 0.650 0.636  -0.08
O 0.008 0.350 0.136  -0.08
O 0.008 0.658 0.364  -0.08
O 0.658 0.008 0.864  -0.08
Dy 0.000 0.000 0.000  -0.01
O 0.650 0.658 0.136  -0.08
Pu 0.333 0.667 0.750  2.68
O 0.350 0.342 0.864  -0.08
Rh 0.667 0.333 0.750  -0.16
O 0.992 0.342 0.636  -0.08
Pu 0.667 0.333 0.250  2.68
Dy 0.000 0.000 0.500  -0.01

* theoretical density: 8.22 Mg/m³
* DOS at the Fermi energy: 14.14 states/eV per cell
* total DFT energy (no corrections): -8.570 eV per atom